[1]
This record from the Alexandria database describes a geometry-optimized BaNp2P2N6 structure. The functional is GGA-PBE.

## Properties
- Formation energy without anion corrections: -653 meV per atom
- D(E_F): 8.5 states/eV/f.u.
- Total moment: 4.37 μB per formula unit

Geometry as CIF:
```
data_BaNp2P2N6
_chemical_formula_sum 'Ba2 Np4 P4 N12'
_space_group_name_H-M_alt 'C 1 2/m 1'
_space_group_IT_number 12
_cell_length_a 11.364
_cell_length_b 6.316
_cell_length_c 5.908
_cell_angle_alpha 90.00
_cell_angle_beta 120.79
_cell_angle_gamma 90.00
loop_
_space_group_symop_operation_xyz
'x,y,z'
'-x,-y,-z'
'-x,y,-z'
'x,-y,z'
'x+1/2,y+1/2,z'
'-x+1/2,-y+1/2,-z'
'-x+1/2,y+1/2,-z'
'x+1/2,-y+1/2,z'
loop_
_atom_site_label
_atom_site_type_symbol
_atom_site_fract_x
_atom_site_fract_y
_atom_site_fract_z
Ba1 Ba 0.000 0.000 0.000
Np1 Np 0.179 0.500 0.313
P1 P 0.186 0.500 0.826
N1 N 0.046 0.500 0.836
N2 N 0.214 0.296 0.679
```

[2]
This record from the Alexandria database describes a geometry-optimized Ba2NpPN5 structure. The functional is GGA-PBE.

## Properties
- Formation energy without anion corrections: -691 meV per atom
- D(E_F): 3.0 states/eV/f.u.
- Total moment: 0.73 μB per formula unit

Geometry as CIF:
```
data_Ba2NpPN5
_chemical_formula_sum 'Ba8 Np4 P4 N20'
_space_group_name_H-M_alt 'C m c 21'
_space_group_IT_number 36
_cell_length_a 3.531
_cell_length_b 14.877
_cell_length_c 11.903
_cell_angle_alpha 90.00
_cell_angle_beta 90.00
_cell_angle_gamma 90.00
loop_
_space_group_symop_operation_xyz
'x,y,z'
'-x,-y,z+1/2'
'-x,y,z'
'x,-y,z+1/2'
'x+1/2,y+1/2,z'
'-x+1/2,-y+1/2,z+1/2'
'-x+1/2,y+1/2,z'
'x+1/2,-y+1/2,z+1/2'
loop_
_atom_site_label
_atom_site_type_symbol
_atom_site_fract_x
_atom_site_fract_y
_atom_site_fract_z
Ba1 Ba 0.000 0.103 0.000
Ba2 Ba 0.000 0.136 0.666
Np1 Np 0.000 0.193 0.367
P1 P 0.000 0.439 0.752
N1 N 0.000 0.046 0.333
N2 N 0.000 0.299 0.973
N3 N 0.000 0.321 0.345
N4 N 0.000 0.328 0.741
N5 N 0.000 0.497 0.641
```

[3]
This record from the Alexandria database describes a geometry-optimized BaNpPN4 structure. The functional is GGA-PBE.

## Properties
- Formation energy without anion corrections: -839 meV per atom
- D(E_F): 7.3 states/eV/f.u.
- Total moment: 2.00 μB per formula unit

Geometry as CIF:
```
data_BaNpPN4
_chemical_formula_sum 'Ba2 Np2 P2 N8'
_space_group_name_H-M_alt 'P 1 21/m 1'
_space_group_IT_number 11
_cell_length_a 5.500
_cell_length_b 5.620
_cell_length_c 7.403
_cell_angle_alpha 90.00
_cell_angle_beta 107.39
_cell_angle_gamma 90.00
loop_
_space_group_symop_operation_xyz
'x,y,z'
'-x,-y,-z'
'-x,y+1/2,-z'
'x,-y+1/2,z'
loop_
_atom_site_label
_atom_site_type_symbol
_atom_site_fract_x
_atom_site_fract_y
_atom_site_fract_z
Ba1 Ba 0.212 0.250 0.428
Np1 Np 0.270 0.250 0.954
P1 P 0.266 0.750 0.168
N1 N 0.063 0.750 0.949
N2 N 0.082 0.750 0.308
N3 N 0.460 0.520 0.190
```

[4]
This record from the Alexandria database describes a geometry-optimized Ba2NpP2N6 structure. The functional is GGA-PBE.

## Properties
- Formation energy without anion corrections: -916 meV per atom
- Total moment: 1.00 μB per formula unit

Geometry as CIF:
```
data_Ba2NpP2N6
_chemical_formula_sum 'Ba6 Np3 P6 N18'
_space_group_name_H-M_alt 'R -3 m'
_space_group_IT_number 166
_space_group_name_Hall '-R 3 2"'
_cell_length_a 5.8590
_cell_length_b 5.8590
_cell_length_c 16.8127
_cell_angle_alpha 90.00
_cell_angle_beta 90.00
_cell_angle_gamma 120.00
loop_
_atom_site_label
_atom_site_type_symbol
_atom_site_fract_x
_atom_site_fract_y
_atom_site_fract_z
Ba1 Ba 0.0000 0.0000 0.2303
Np1 Np 0.0000 0.0000 0.0000
P1 P 0.0000 0.0000 0.4334
N1 N 0.0206 0.5103 0.2584
```

[5]
This record from the Alexandria database describes a geometry-optimized Ba4NpPa3N8 structure. The functional is GGA-PBE.

## Properties
- Formation energy without anion corrections: -1188 meV per atom
- D(E_F): 13.7 states/eV/f.u.
- Total moment: 3.13 μB per formula unit

Geometry as CIF:
```
data_Ba4NpPa3N8
_chemical_formula_sum 'Ba12 Np3 Pa9 N24'
_space_group_name_H-M_alt 'R -3 m'
_space_group_IT_number 166
_space_group_name_Hall '-R 3 2"'
_cell_length_a 7.2740
_cell_length_b 7.2740
_cell_length_c 19.2919
_cell_angle_alpha 90.00
_cell_angle_beta 90.00
_cell_angle_gamma 120.00
loop_
_atom_site_label
_atom_site_type_symbol
_atom_site_fract_x
_atom_site_fract_y
_atom_site_fract_z
Ba1 Ba 0.0000 0.0000 0.0000
Ba2 Ba 0.0000 0.5000 0.0000
Np1 Np 0.0000 0.0000 0.5000
Pa1 Pa 0.0000 0.5000 0.5000
N1 N 0.0000 0.0000 0.2221
N2 N 0.9996 0.4998 0.2218
```

[6]
This record from the Alexandria database describes a geometry-optimized Ba2NpPa3N8 structure. The functional is GGA-PBE.

## Properties
- Formation energy without anion corrections: -1264 meV per atom
- D(E_F): 7.9 states/eV/f.u.
- Total moment: 2.00 μB per formula unit

Geometry as CIF:
```
data_Ba2NpPa3N8
_chemical_formula_sum 'Ba6 Np3 Pa9 N24'
_space_group_name_H-M_alt 'R 3 m'
_space_group_IT_number 160
_space_group_name_Hall 'R 3 -2"'
_cell_length_a 7.1330
_cell_length_b 7.1330
_cell_length_c 19.5896
_cell_angle_alpha 90.00
_cell_angle_beta 90.00
_cell_angle_gamma 120.00
loop_
_atom_site_label
_atom_site_type_symbol
_atom_site_fract_x
_atom_site_fract_y
_atom_site_fract_z
Ba1 Ba 0.0000 0.0000 0.0000
Ba2 Ba 0.0000 0.0000 0.3563
Np1 Np 0.0000 0.0000 0.8294
Pa1 Pa 0.1682 0.3364 0.1856
N1 N 0.0000 0.0000 0.1374
N2 N 0.0000 0.0000 0.5652
N3 N 0.0145 0.5073 0.1246
N4 N 0.0219 0.5109 0.5640
```

[7]
This record from the Alexandria database describes a geometry-optimized BaPmNpN3 structure. The functional is GGA-PBE.

## Properties
- Formation energy without anion corrections: -881 meV per atom
- D(E_F): 2.4 states/eV/f.u.
- Total moment: 0.22 μB per formula unit

Geometry as CIF:
```
data_BaPmNpN3
_chemical_formula_sum 'Ba2 Pm2 Np2 N6'
_space_group_name_H-M_alt 'P 1 21/m 1'
_space_group_IT_number 11
_cell_length_a 6.903
_cell_length_b 3.726
_cell_length_c 10.469
_cell_angle_alpha 90.00
_cell_angle_beta 108.46
_cell_angle_gamma 90.00
loop_
_space_group_symop_operation_xyz
'x,y,z'
'-x,-y,-z'
'-x,y+1/2,-z'
'x,-y+1/2,z'
loop_
_atom_site_label
_atom_site_type_symbol
_atom_site_fract_x
_atom_site_fract_y
_atom_site_fract_z
Ba1 Ba 0.216 0.250 0.191
Pm1 Pm 0.336 0.250 0.872
Np1 Np 0.107 0.750 0.572
N1 N 0.013 0.250 0.662
N2 N 0.303 0.750 0.021
N3 N 0.367 0.750 0.712
```

[8]
This record from the Alexandria database describes a geometry-optimized Ba2PmNpN4 structure. The functional is GGA-PBE.

## Properties
- Formation energy without anion corrections: -945 meV per atom
- D(E_F): 3.9 states/eV/f.u.
- Total moment: 1.47 μB per formula unit

Geometry as CIF:
```
data_Ba2PmNpN4
_chemical_formula_sum 'Ba2 Pm1 Np1 N4'
_space_group_name_H-M_alt 'P 1 2/m 1'
_space_group_IT_number 10
_cell_length_a 6.241
_cell_length_b 3.657
_cell_length_c 6.754
_cell_angle_alpha 90.00
_cell_angle_beta 108.32
_cell_angle_gamma 90.00
loop_
_space_group_symop_operation_xyz
'x,y,z'
'-x,-y,-z'
'-x,y,-z'
'x,-y,z'
loop_
_atom_site_label
_atom_site_type_symbol
_atom_site_fract_x
_atom_site_fract_y
_atom_site_fract_z
Ba1 Ba 0.000 0.000 0.000
Ba2 Ba 0.500 0.500 0.000
Pm1 Pm 0.000 0.500 0.500
Np1 Np 0.500 0.000 0.500
N1 N 0.274 0.000 0.676
N2 N 0.298 0.500 0.321
```

Final energy values (in eV per atom) by entry order: -8.706, -7.782, -8.493, -7.966, -8.420, -9.255, -8.313, -7.800.